Record 1
# Ba2Hg6BiSb

Crystalline Ba2Hg6BiSb at its relaxed geometry (PBE-GGA, the Alexandria database).

Unit cell a=5.788 b=11.982 c=9.846 alpha=90.00 beta=90.00 gamma=90.00
Element x y z (fractional)
Ba 0.000 0.271 0.756
Hg 0.246 0.525 0.000
Hg 0.754 0.525 0.000
Hg 0.500 0.060 0.275
Sb 0.000 0.687 0.500
Hg 0.251 0.924 0.500
Ba 0.000 0.271 0.244
Hg 0.500 0.060 0.725
Bi 0.000 0.760 0.000
Hg 0.751 0.076 0.000
Hg 0.000 0.940 0.225
Ba 0.500 0.729 0.744
Bi 0.500 0.240 0.500
Hg 0.746 0.475 0.500
Hg 0.254 0.475 0.500
Hg 0.749 0.924 0.500
Ba 0.500 0.729 0.256
Sb 0.500 0.313 0.000
Hg 0.000 0.940 0.775
Hg 0.249 0.076 0.000

Computed properties:
Calculated total energy   -0.0611 Ha/atom
Calculated volume   34.14 Å³/atom
ΔE_f (raw)   -0.295 eV per atom



Record 2
# KTbCuI6

Crystalline KTbCuI6 at its relaxed geometry (PBE-GGA, the Alexandria database).

Unit cell a=8.338 b=7.439 c=7.918 alpha=85.31 beta=81.70 gamma=55.93
Last column: magnetic moment on the atom in μB.
Element x y z (fractional)
I 0.589 0.034 0.274  0.10
Tb 0.684 0.632 0.500  0.00
Cu 0.332 0.339 0.501  0.31
I 0.996 0.370 0.224  0.02
K 0.027 0.946 0.000  0.00
I 0.633 0.370 0.775  0.02
I 0.369 0.639 0.329  0.09
I 0.993 0.638 0.671  0.09
I 0.378 0.033 0.726  0.10

Computed properties:
Calculated total energy   -0.1123 Ha/atom
Calculated volume   44.73 Å³/atom
ΔE_f (raw)   -0.932 eV per atom



Record 3
# LaPrAl2

Crystalline LaPrAl2 at its relaxed geometry (PBE-GGA, the Alexandria database).

Unit cell a=5.345 b=5.345 c=5.345 alpha=60.00 beta=60.00 gamma=60.00
Element x y z (fractional)
Al 0.250 0.250 0.250
Pr 0.500 0.500 0.500
Al 0.750 0.750 0.750
La 0.000 0.000 0.000

Computed properties:
Calculated total energy   -0.1707 Ha/atom
Calculated volume   26.99 Å³/atom
Formation energy   -0.347 eV/atom



Record 4
# MnPPt2

Crystalline MnPPt2 at its relaxed geometry (PBE-GGA, the Alexandria database).

Unit cell a=4.908 b=4.908 c=4.908 alpha=134.19 beta=134.19 gamma=66.80
Last column: magnetic moment on the atom in μB.
Element x y z (fractional)
Pt 0.000 0.000 0.000  0.24
Mn 0.500 0.500 0.000  3.85
Pt 0.250 0.750 0.500  0.18
P 0.750 0.250 0.500  -0.02

Computed properties:
Calculated total energy   -0.2490 Ha/atom
Calculated volume   14.95 Å³/atom
Formation energy   -0.110 eV/atom



Record 5
# K3Er3TiTe8

Crystalline K3Er3TiTe8 at its relaxed geometry (PBE-GGA, the Alexandria database).

Unit cell a=8.657 b=8.654 c=9.826 alpha=116.12 beta=90.00 gamma=120.02
Last column: magnetic moment on the atom in μB.
Element x y z (fractional)
Te 0.779 0.557 0.305  0.00
Te 0.221 0.443 0.695  0.00
Er 0.000 0.500 0.500  0.00
Er 0.500 0.000 0.500  0.00
Te 0.247 0.026 0.305  0.00
Er 0.500 0.500 0.500  0.00
K 0.000 0.500 0.000  0.00
K 0.000 0.000 0.000  0.00
Te 0.221 0.974 0.695  0.00
K 0.500 0.500 0.000  0.00
Te 0.779 0.026 0.305  0.00
Te 0.753 0.974 0.695  0.00
Ti 0.000 0.000 0.500  -0.09
Te 0.736 0.472 0.708  0.00
Te 0.264 0.528 0.292  0.00

Computed properties:
Calculated total energy   -0.1666 Ha/atom
Calculated volume   36.59 Å³/atom
ΔE_f (raw)   -1.200 eV per atom



Record 6
# La2Ga5Pd

Crystalline La2Ga5Pd at its relaxed geometry (PBE-GGA, the Alexandria database).

Unit cell a=4.337 b=9.015 c=9.139 alpha=90.00 beta=90.00 gamma=103.92
Element x y z (fractional)
La 0.204 0.408 0.250
La 0.000 0.000 0.500
Ga 0.581 0.162 0.750
Ga 0.357 0.714 0.983
Pd 0.564 0.127 0.250
Ga 0.814 0.629 0.109
La 0.000 0.000 0.000
Ga 0.643 0.286 0.483
Ga 0.186 0.371 0.891
Ga 0.814 0.629 0.391
Ga 0.419 0.838 0.250
Ga 0.357 0.714 0.517
Ga 0.643 0.286 0.017
Ga 0.186 0.371 0.609
Pd 0.436 0.873 0.750
La 0.796 0.592 0.750

Computed properties:
Calculated total energy   -0.1631 Ha/atom
Calculated volume   21.68 Å³/atom
Formation energy   -0.665 eV/atom



Record 7
# CuC3

Crystalline CuC3 at its relaxed geometry (PBE-GGA, the Alexandria database).

Unit cell a=5.467 b=5.467 c=5.467 alpha=26.57 beta=26.57 gamma=26.57
Element x y z (fractional)
C 0.500 0.500 0.500
Cu 0.000 0.000 0.000
C 0.226 0.226 0.226
C 0.774 0.774 0.774

Computed properties:
Calculated total energy   -0.2180 Ha/atom
Calculated volume   7.20 Å³/atom
Formation energy   2.009 eV/atom



Record 8
# BeSbBr2

Crystalline BeSbBr2 at its relaxed geometry (PBE-GGA, the Alexandria database).

Unit cell a=6.916 b=6.916 c=6.832 alpha=59.59 beta=59.59 gamma=90.00
Element x y z (fractional)
Br 0.463 0.125 0.250
Sb 0.750 0.250 0.500
Br 0.287 0.625 0.250
Br 0.875 0.713 0.750
Sb 0.000 0.000 0.000
Be 0.250 0.750 0.500
Br 0.375 0.537 0.750
Be 0.500 0.500 0.000

Computed properties:
Calculated total energy   -0.1004 Ha/atom
Calculated volume   28.52 Å³/atom
ΔE_f (raw)   0.068 eV per atom